[1]
{
  "formula": "CaLa2HoTe4",
  "functional": "PBE-GGA",
  "state": "relaxed",
  "lattice": [[-3.711, 2.294, 0.938], [-4.296, -5.734, -2.975], [1.105, -1.344, 7.659]],
  "species": ["Ca", "La", "La", "Ho", "Te", "Te", "Te", "Te"],
  "frac_coords": [[0.500, 0.500, 0.000], [0.500, 0.000, 0.500], [0.000, 0.500, 0.500], [0.000, 0.000, 0.000], [0.500, 0.242, 0.233], [0.500, 0.758, 0.767], [0.000, 0.252, 0.764], [0.000, 0.748, 0.236]],
  "dos_at_fermi_per_ev_atom": 0.553,
  "space_group": "P2/m, No. 10",
  "vol_a3_per_fu": 257.14,
  "e_form_raw_mev_per_atom": -1504
}


[2]
{
  "formula": "CaLaHoTh",
  "functional": "PBE-GGA",
  "state": "relaxed",
  "lattice": [[5.817, 0.000, 0.000], [2.908, 5.038, 0.000], [2.908, 1.679, 4.749]],
  "species": ["Ca", "Ho", "Th", "La"],
  "frac_coords": [[0.250, 0.250, 0.250], [0.000, 0.000, 0.000], [0.750, 0.750, 0.750], [0.500, 0.500, 0.500]],
  "dos_at_fermi_per_ev_atom": 2.177,
  "space_group": "F-43m, No. 216",
  "vol_a3_per_fu": 139.17,
  "e_form_mev_per_atom": 230
}